# 1
Entry from Alexandria via LeMat-Bulk: NaSrPmGa after structural relaxation (PBE).

Geometry as CIF:
```
data_NaSrPmGa
_cell_length_a 5.547
_cell_length_b 5.547
_cell_length_c 5.547
_cell_angle_alpha 60.00
_cell_angle_beta 60.00
_cell_angle_gamma 60.00
_space_group_name_H-M_alt 'P 1'
_space_group_IT_number 1
_space_group_name_Hall 'P 1'
loop_
_atom_site_label
_atom_site_type_symbol
_atom_site_fract_x
_atom_site_fract_y
_atom_site_fract_z
_atom_site_occupancy
Sr1 Sr 0.500 0.500 0.500 1
Na1 Na 0.750 0.750 0.750 1
Ga1 Ga 0.250 0.250 0.250 1
Pm1 Pm 0.000 0.000 0.000 1
```

# 2
Entry from Alexandria via LeMat-Bulk: NaTbPmGa after structural relaxation (PBE).

Geometry as CIF:
```
data_NaTbPmGa
_cell_length_a 5.300
_cell_length_b 5.300
_cell_length_c 5.300
_cell_angle_alpha 60.00
_cell_angle_beta 60.00
_cell_angle_gamma 60.00
_space_group_name_H-M_alt 'P 1'
_space_group_IT_number 1
_space_group_name_Hall 'P 1'
loop_
_atom_site_label
_atom_site_type_symbol
_atom_site_fract_x
_atom_site_fract_y
_atom_site_fract_z
_atom_site_occupancy
Na1 Na 0.000 0.000 0.000 1
Tb1 Tb 0.250 0.250 0.250 1
Ga1 Ga 0.500 0.500 0.500 1
Pm1 Pm 0.750 0.750 0.750 1
```

# 3
Entry from Alexandria via LeMat-Bulk: NaPmZnGa after structural relaxation (PBE).

Geometry as CIF:
```
data_NaPmZnGa
_cell_length_a 5.058
_cell_length_b 5.058
_cell_length_c 5.058
_cell_angle_alpha 60.00
_cell_angle_beta 60.00
_cell_angle_gamma 60.00
_space_group_name_H-M_alt 'P 1'
_space_group_IT_number 1
_space_group_name_Hall 'P 1'
loop_
_atom_site_label
_atom_site_type_symbol
_atom_site_fract_x
_atom_site_fract_y
_atom_site_fract_z
_atom_site_occupancy
Na1 Na 0.750 0.750 0.750 1
Zn1 Zn 0.500 0.500 0.500 1
Ga1 Ga 0.000 0.000 0.000 1
Pm1 Pm 0.250 0.250 0.250 1
```

Looking at formation energy from the elements for the records above, in order, we have -87; -134; -225 meV/atom.